## PrErZnHg (GGA-PBE)

Data for a relaxed PrErZnHg crystal.

ρ: 9421 kg/m³
E above lowest polymorph: 0 meV per atom
V: 101.21 Å³ per cell
formation energy from the elements: -0.401 eV per atom

Structure (POSCAR):
```
PrErZnHg
1.0
3.6443 0.0000 0.0000
0.0000 3.6443 0.0000
0.0000 0.0000 7.6203
Pr Er Zn Hg
1 1 1 1
Cartesian
0.0000 0.0000 0.0000
0.0000 0.0000 3.5606
1.8222 1.8222 1.9426
1.8222 1.8222 5.3957
```

=====

## PrErZnHg (GGA-PBE)

Data for a relaxed PrErZnHg crystal.

ρ: 9280 kg/m³
E above lowest polymorph: 35 meV per atom
V: 102.74 Å³ per cell
formation energy from the elements: -0.366 eV per atom

Structure (POSCAR):
```
PrErZnHg
1.0
0.0000 3.7174 3.7174
3.7174 0.0000 3.7174
3.7174 3.7174 0.0000
Pr Er Zn Hg
1 1 1 1
Cartesian
0.0000 0.0000 0.0000
3.7174 3.7174 3.7174
5.5761 5.5761 5.5761
1.8587 1.8587 1.8587
```

=====

## Er2HgPt (GGA-PBE)

Data for a relaxed Er2HgPt crystal.

ρ: 13212 kg/m³
E above lowest polymorph: 0 meV per atom
V: 91.77 Å³ per cell
formation energy from the elements: -0.887 eV per atom

Structure (POSCAR):
```
Er2HgPt
1.0
3.5437 0.0000 0.0000
0.0000 3.5437 0.0000
0.0000 0.0000 7.3078
Er Hg Pt
2 1 1
Cartesian
0.0000 0.0000 1.6463
0.0000 0.0000 5.6615
1.7719 1.7719 3.6539
1.7719 1.7719 0.0000
```

=====

## Er7Hg2Pt2 (GGA-PBE)

Data for a relaxed Er7Hg2Pt2 crystal.

ρ: 10545 kg/m³
V: 308.98 Å³ per cell
formation energy from the elements: -0.553 eV per atom

Structure (POSCAR):
```
Er7Hg2Pt2
1.0
4.0435 -5.4173 0.0000
4.0435 5.4173 0.0000
0.0000 0.0000 7.0529
Er Hg Pt
7 2 2
Cartesian
0.0000 0.0000 0.0000
2.0217 2.7087 1.7953
2.0217 2.7087 5.2576
2.0217 -2.7087 1.7953
2.0217 -2.7087 5.2576
4.0435 0.0000 1.7490
4.0435 0.0000 5.3039
1.4888 0.0000 3.5264
6.5982 0.0000 3.5264
4.0435 2.3002 0.0000
4.0435 -2.3002 0.0000
```

=====

## Er12Hg5Pt2 (GGA-PBE)

Data for a relaxed Er12Hg5Pt2 crystal.

ρ: 10675 kg/m³
V: 528.91 Å³ per cell
formation energy from the elements: -0.402 eV per atom

Structure (POSCAR):
```
Er12Hg5Pt2
1.0
8.0560 -3.9057 0.0000
8.0560 3.9057 0.0000
-2.4891 0.0000 8.4049
Er Hg Pt
12 5 2
Cartesian
-0.5698 0.0000 2.6516
4.3989 2.0688 2.7698
3.7706 2.3064 8.0090
9.8522 2.3064 0.3959
4.8437 0.0000 5.5353
9.2239 2.0688 5.6351
4.3989 -2.0688 2.7698
8.7792 0.0000 2.8696
3.7706 -2.3064 8.0090
9.8522 -2.3064 0.3959
9.2239 -2.0688 5.6351
14.1926 0.0000 5.7533
2.3093 0.0000 3.2764
1.8269 0.0000 8.0769
8.0560 0.0000 0.0000
11.7960 0.0000 0.3279
11.3135 0.0000 5.1284
6.8114 1.6115 4.2024
6.8114 -1.6115 4.2024
```

=====

## Er4HgPt2 (GGA-PBE)

Data for a relaxed Er4HgPt2 crystal.

ρ: 11447 kg/m³
E above lowest polymorph: 69 meV per atom
V: 182.75 Å³ per cell
formation energy from the elements: -0.810 eV per atom

Structure (POSCAR):
```
Er4HgPt2
1.0
2.3094 1.3334 9.8911
-2.3094 1.3334 9.8911
0.0000 -2.6667 9.8911
Er Hg Pt
4 1 2
Cartesian
0.0000 0.0000 3.3149
0.0000 0.0000 8.8727
0.0000 0.0000 20.8007
0.0000 0.0000 26.3584
0.0000 0.0000 14.8367
0.0000 0.0000 11.8647
0.0000 0.0000 17.8086
```

=====

## Er2HgPt (GGA-PBE)

Data for a relaxed Er2HgPt crystal.

ρ: 11492 kg/m³
E above lowest polymorph: 87 meV per atom
V: 105.51 Å³ per cell
formation energy from the elements: -0.800 eV per atom

Structure (POSCAR):
```
Er2HgPt
1.0
2.0352 1.1750 7.3535
-2.0352 1.1750 7.3535
0.0000 -2.3500 7.3535
Er Hg Pt
2 1 1
Cartesian
0.0000 0.0000 0.0000
0.0000 0.0000 4.3099
0.0000 0.0000 9.5123
0.0000 0.0000 13.1627
```

=====

## ErHgPt2 (GGA-PBE)

Data for a relaxed ErHgPt2 crystal.

ρ: 16456 kg/m³
E above lowest polymorph: 59 meV per atom
V: 76.49 Å³ per cell
formation energy from the elements: -0.716 eV per atom

Structure (POSCAR):
```
ErHgPt2
1.0
4.3749 0.0000 0.0000
0.0000 4.3749 0.0000
0.0000 0.0000 3.9963
Er Hg Pt
1 1 2
Cartesian
0.0000 0.0000 0.0000
2.1875 2.1875 0.0000
0.0000 2.1875 1.9981
2.1875 0.0000 1.9981
```

=====

## Er4HgPt (GGA-PBE)

Data for a relaxed Er4HgPt crystal.

ρ: 11470 kg/m³
E above lowest polymorph: 0 meV per atom
V: 616.54 Å³ per cell
formation energy from the elements: -0.681 eV per atom

Structure (POSCAR):
```
Er4HgPt
1.0
0.0000 6.7553 6.7553
6.7553 0.0000 6.7553
6.7553 6.7553 0.0000
Er Hg Pt
16 4 4
Cartesian
6.7553 6.7553 2.5169
6.7553 2.5169 6.7553
10.9937 6.7553 6.7553
5.3279 5.3279 5.3279
8.1827 8.1827 5.3279
8.1827 5.3279 8.1827
10.1329 10.1329 7.5757
10.1329 7.5757 10.1329
12.6901 10.1329 10.1329
2.5169 6.7553 6.7553
6.7553 10.9937 6.7553
6.7553 6.7553 10.9937
5.3279 8.1827 8.1827
7.5757 10.1329 10.1329
10.1329 12.6901 10.1329
10.1329 10.1329 12.6901
2.2027 2.2027 2.2027
4.5526 4.5526 2.2027
4.5526 2.2027 4.5526
2.2027 4.5526 4.5526
8.1816 5.3290 5.3290
5.3290 8.1816 5.3290
5.3290 5.3290 8.1816
8.1816 8.1816 8.1816
```

=====

## Er2HgPt9 (GGA-PBE)

Data for a relaxed Er2HgPt9 crystal.

ρ: 18508 kg/m³
V: 205.53 Å³ per cell
formation energy from the elements: -0.699 eV per atom

Structure (POSCAR):
```
Er2HgPt9
1.0
4.0861 0.0000 0.0000
0.0000 4.0861 0.0000
0.0000 0.0000 12.3099
Er Hg Pt
2 1 9
Cartesian
0.0000 0.0000 2.0652
0.0000 0.0000 10.2447
0.0000 0.0000 6.1549
0.0000 2.0431 0.0000
0.0000 2.0431 4.0962
0.0000 2.0431 8.2136
2.0431 0.0000 0.0000
2.0431 0.0000 4.0962
2.0431 0.0000 8.2136
2.0431 2.0431 2.0504
2.0431 2.0431 6.1549
2.0431 2.0431 10.2595
```

=====

## Er6HgPt (GGA-PBE)

Data for a relaxed Er6HgPt crystal.

ρ: 9210 kg/m³
V: 252.27 Å³ per cell
formation energy from the elements: -0.226 eV per atom

Structure (POSCAR):
```
Er6HgPt
1.0
6.9168 0.0000 0.0000
-3.4456 6.0045 0.0000
-3.4366 -1.9978 6.0740
Er Hg Pt
6 1 1
Cartesian
-0.9360 -0.0693 1.5397
-1.3083 3.8532 1.5357
-2.2499 1.7732 4.5368
2.2845 2.2335 1.5372
1.3429 0.1536 4.5383
0.9706 4.0760 4.5344
3.4584 0.0000 0.0000
0.0173 2.0034 3.0370
```

=====

## Er5Hg4Pt (GGA-PBE)

Data for a relaxed Er5Hg4Pt crystal.

ρ: 12583 kg/m³
V: 241.99 Å³ per cell
formation energy from the elements: -0.641 eV per atom

Structure (POSCAR):
```
Er5Hg4Pt
1.0
3.6229 0.0000 0.0000
0.0000 3.6229 0.0000
0.0000 0.0000 18.4367
Er Hg Pt
5 4 1
Cartesian
0.0000 0.0000 0.0000
0.0000 0.0000 3.7960
0.0000 0.0000 7.6025
0.0000 0.0000 10.8341
0.0000 0.0000 14.6406
1.8114 1.8114 1.8864
1.8114 1.8114 5.6176
1.8114 1.8114 12.8190
1.8114 1.8114 16.5502
1.8114 1.8114 9.2183
```